Entry from Alexandria via LeMat-Bulk: Cs3Pm3NbS8 after structural relaxation (PBE-GGA).

Results
Uncorrected energy ... -5.597 eV per atom

Unit cell a=8.1182 b=8.1182 c=24.7093 alpha=90.00 beta=90.00 gamma=120.00
Space group R-3m (No. 166, hexagonal axes)
Inequivalent atoms, fractional coordinates:
Cs 0.0000 0.5000 0.0000 x9
Pm 0.0000 0.5000 0.5000 x9
Nb 0.0000 0.0000 0.5000 x3
S 0.0000 0.0000 0.2291 x6
S 0.0295 0.5148 0.2247 x18